[1]
DFT (PBE) results for an optimized crystal structure of Ca3MgN2.

Lattice parameters (Å, degrees): 7.833 7.833 12.034 123.52 123.52 25.97
Positions (direct):
Ca: 0.143 0.143 0.216
Ca: 0.353 0.353 0.523
Ca: 0.355 0.355 0.044
Ca: 0.645 0.645 0.956
Ca: 0.647 0.647 0.477
Ca: 0.857 0.857 0.784
Mg: 0.182 0.182 0.744
Mg: 0.818 0.818 0.256
N: 0.245 0.245 0.123
N: 0.253 0.253 0.630
N: 0.747 0.747 0.370
N: 0.755 0.755 0.877

Spin magnetization   0.000 Bohr magnetons per cell
Energy relative to the elements, uncorrected   -690 meV/atom
E   -4.7313 eV per atom
Space group   No. 12

=====

[2]
DFT (PBE) results for an optimized crystal structure of ThCuH8Rh2.

Lattice parameters (Å, degrees): 6.084 6.084 6.084 45.35 45.35 45.35
Positions (direct):
Th: 0.000 0.000 0.000
Cu: 0.500 0.500 0.500
H: 0.138 0.803 0.410
H: 0.197 0.590 0.862
H: 0.315 0.315 0.315
H: 0.410 0.138 0.803
H: 0.590 0.862 0.197
H: 0.685 0.685 0.685
H: 0.803 0.410 0.138
H: 0.862 0.197 0.590
Rh: 0.210 0.210 0.210
Rh: 0.790 0.790 0.790

Spin magnetization   0.000 Bohr magnetons per cell
E   -4.5872 eV per atom
Space group   No. 148

=====

[3]
DFT (PBE) results for an optimized crystal structure of LiReRu2W.

Lattice parameters (Å, degrees): 4.726 4.726 4.737 90.00 90.00 90.00
Positions (direct):
Li: 0.000 0.000 0.000
Re: 0.500 0.500 0.500
Ru: 0.000 0.500 0.500
Ru: 0.500 0.000 0.500
W: 0.500 0.500 0.000

Spin magnetization   0.000 Bohr magnetons per cell
E   -7.5489 eV per atom
Space group   No. 123

=====

[4]
DFT (PBE) results for an optimized crystal structure of ScRu2Rh.

Lattice parameters (Å, degrees): 9.257 2.849 4.732 90.00 100.83 90.00
Positions (direct):
Sc: 0.000 0.000 0.000
Sc: 0.500 0.500 0.000
Ru: 0.239 0.000 0.730
Ru: 0.261 0.500 0.270
Ru: 0.739 0.500 0.730
Ru: 0.761 0.000 0.270
Rh: 0.000 0.500 0.500
Rh: 0.500 0.000 0.500

Spin magnetization   0.000 Bohr magnetons per cell
E   -8.2457 eV per atom
Space group   No. 12

=====

[5]
DFT (PBE) results for an optimized crystal structure of K2NaZn2H5C4O14.

Lattice parameters (Å, degrees): 5.223 11.250 11.703 90.00 113.83 90.00
Positions (direct):
K: 0.036 0.166 0.080
K: 0.036 0.334 0.580
K: 0.964 0.666 0.420
K: 0.964 0.834 0.920
Na: 0.000 0.000 0.500
Na: 0.000 0.500 0.000
Zn: 0.325 0.606 0.794
Zn: 0.325 0.894 0.294
Zn: 0.675 0.106 0.706
Zn: 0.675 0.394 0.206
H: 0.052 0.698 0.176
H: 0.052 0.802 0.676
H: 0.376 0.669 0.223
H: 0.376 0.831 0.723
H: 0.500 0.000 0.000
H: 0.500 0.500 0.500
H: 0.624 0.169 0.277
H: 0.624 0.331 0.777
H: 0.948 0.198 0.324
H: 0.948 0.302 0.824
C: 0.290 0.072 0.819
C: 0.290 0.428 0.319
C: 0.424 0.129 0.435
C: 0.424 0.371 0.935
C: 0.576 0.629 0.065
C: 0.576 0.871 0.565
C: 0.710 0.572 0.681
C: 0.710 0.928 0.181
O: 0.060 0.060 0.834
O: 0.060 0.440 0.334
O: 0.209 0.170 0.449
O: 0.209 0.330 0.949
O: 0.240 0.713 0.249
O: 0.240 0.787 0.749
O: 0.295 0.110 0.716
O: 0.295 0.390 0.216
O: 0.335 0.619 0.968
O: 0.335 0.881 0.468
O: 0.411 0.097 0.326
O: 0.411 0.403 0.826
O: 0.471 0.544 0.589
O: 0.471 0.956 0.089
O: 0.529 0.044 0.911
O: 0.529 0.456 0.411
O: 0.589 0.597 0.174
O: 0.589 0.903 0.674
O: 0.665 0.119 0.532
O: 0.665 0.381 0.032
O: 0.705 0.610 0.784
O: 0.705 0.890 0.284
O: 0.760 0.213 0.251
O: 0.760 0.287 0.751
O: 0.791 0.670 0.051
O: 0.791 0.830 0.551
O: 0.940 0.560 0.666
O: 0.940 0.940 0.166

Spin magnetization   0.000 Bohr magnetons per cell
E   -6.0687 eV per atom
Space group   No. 14

=====

[6]
DFT (PBE) results for an optimized crystal structure of Al2In2SnPd5.

Lattice parameters (Å, degrees): 10.582 10.582 3.207 90.00 90.00 90.00
Positions (direct):
Al: 0.138 0.362 0.000
Al: 0.362 0.862 0.000
Al: 0.638 0.138 0.000
Al: 0.862 0.638 0.000
In: 0.155 0.655 0.000
In: 0.345 0.155 0.000
In: 0.655 0.845 0.000
In: 0.845 0.345 0.000
Sn: 0.000 0.000 0.000
Sn: 0.500 0.500 0.000
Pd: 0.000 0.500 0.500
Pd: 0.127 0.175 0.500
Pd: 0.175 0.873 0.500
Pd: 0.325 0.373 0.500
Pd: 0.373 0.675 0.500
Pd: 0.500 0.000 0.500
Pd: 0.627 0.325 0.500
Pd: 0.675 0.627 0.500
Pd: 0.825 0.127 0.500
Pd: 0.873 0.825 0.500

Spin magnetization   0.000 Bohr magnetons per cell
E   -4.8060 eV per atom
Space group   No. 127

=====

[7]
DFT (PBE) results for an optimized crystal structure of POsWS2.

Lattice parameters (Å, degrees): 4.554 4.554 4.897 90.00 90.00 90.00
Positions (direct):
P: 0.000 0.000 0.000
Os: 0.500 0.500 0.000
W: 0.000 0.000 0.500
S: 0.000 0.500 0.500
S: 0.500 0.000 0.500

Spin magnetization   3.396 Bohr magnetons per cell
Energy relative to the elements, uncorrected   1306 meV/atom
E   -6.2633 eV per atom
Space group   No. 123